A plane-wave DFT calculation with PBE was carried out for a relaxed structure of ScBeNb.

Crystal system: orthorhombic
Excess energy over the best structure of this formula in the dataset, meV/atom: 34
Final energy, eV for the cell shown: -80.2

Cell: 4.3629 14.1915 3.2780 Å, 90.00 90.00 90.00°
With the nearest neighbours (Å) after each atom.
Space group Cmmm (No. 65)
One atom of each set of equivalent atoms:
Sc: 0.0000 0.1769 0.0000  6 Be 2.77-3.02, 2 Nb 3.00, 2 Sc 3.01
Be: 0.0000 0.3553 0.5000  2 Nb 2.63, 4 Sc 2.77
Nb: 0.0000 0.0000 0.5000  4 Nb 2.73, 4 Be 3.00, 4 Sc 3.00
Nb: 0.0000 0.5000 0.0000  4 Be 2.63, 4 Nb 2.73